(1)
This record from Alexandria via LeMat-Bulk describes a geometry-optimized Na2LaY2 structure. The functional is PBE-GGA.

a b c (Å): 5.7654 5.7654 5.7433
angles (deg): 90.00 90.00 90.00
Fractional coordinates of all 5 atoms:
Na 0.0000 0.5000 0.0000
Na 0.5000 0.0000 0.0000
La 0.0000 0.0000 0.0000
Y 0.0000 0.0000 0.5000
Y 0.5000 0.5000 0.5000

## Properties
spin magnetization = 0.6 Bohr magnetons per cell
theoretical density = 3.15 g cm⁻³
ΔE to the lowest computed polymorph = 55.5 kJ/mol of atoms
energy = -3.143 eV per atom
space-group type = No. 123

(2)
This record from Alexandria via LeMat-Bulk describes a geometry-optimized ScTa2Ag structure. The functional is PBE-GGA.

a b c (Å): 5.3798 5.3798 5.4063
angles (deg): 111.27 111.27 31.93
Fractional coordinates of all 4 atoms:
Sc 0.0000 0.0000 0.0000
Ta 0.5143 0.5143 0.4865
Ta 0.7697 0.7697 0.4145
Ag 0.2489 0.2489 0.9083

## Properties
spin magnetization = 0.0 Bohr magnetons per cell
theoretical density = 11.15 g cm⁻³
ΔE to the lowest computed polymorph = 11.6 kJ/mol of atoms
energy = -8.002 eV per atom
space-group type = No. 8